Computed, not measured: an optimized crystal structure of K3ZrBr at the PBE level of DFT.

## Properties
The value obtained for the total energy is -2.1011 eV per atom. Its energy relative to the elements, uncorrected is 290 kJ/mol of formula units. Its distance to the lowest polymorph of the same formula is 386 meV per atom.

Geometry as CIF:
```
data_K3ZrBr
_chemical_formula_sum 'K3 Zr1 Br1'
_cell_length_a 6.760
_cell_length_b 6.760
_cell_length_c 6.760
_cell_angle_alpha 90.00
_cell_angle_beta 90.00
_cell_angle_gamma 90.00
_space_group_name_H-M_alt 'P 1'
_space_group_IT_number 1
_space_group_name_Hall 'P 1'
loop_
_atom_site_label
_atom_site_fract_x
_atom_site_fract_y
_atom_site_fract_z
_atom_site_occupancy
K1 0.000 0.500 0.000 1
K2 0.500 0.000 0.000 1
K3 0.000 0.000 0.500 1
Br1 0.500 0.500 0.500 1
Zr1 0.000 0.000 0.000 1
```


Computed, not measured: an optimized crystal structure of K3ZrBr at the PBE level of DFT.

## Properties
The value obtained for the total energy is -2.4873 eV per atom. Its energy relative to the elements, uncorrected is 104 kJ/mol of formula units. Its distance to the lowest polymorph of the same formula is 0 meV per atom.

Geometry as CIF:
```
data_K3ZrBr
_chemical_formula_sum 'K3 Zr1 Br1'
_cell_length_a 6.287
_cell_length_b 6.287
_cell_length_c 6.287
_cell_angle_alpha 90.00
_cell_angle_beta 90.00
_cell_angle_gamma 90.00
_space_group_name_H-M_alt 'P 1'
_space_group_IT_number 1
_space_group_name_Hall 'P 1'
loop_
_atom_site_label
_atom_site_fract_x
_atom_site_fract_y
_atom_site_fract_z
_atom_site_occupancy
K1 0.000 0.000 0.500 1
K2 0.000 0.500 0.000 1
K3 0.500 0.000 0.000 1
Zr1 0.500 0.500 0.500 1
Br1 0.000 0.000 0.000 1
```


> Which value of distance to the lowest polymorph of the same formula does entry 1 give?

386 meV per atom